# 1
A plane-wave DFT calculation with PBE was carried out for a geometry-optimized Rb2ScTeF6 structure.

a = 7.231 Å, b = 7.231 Å, c = 6.651 Å
α = 57.07°, β = 57.07°, γ = 90.00°
Site moments in Bohr magnetons follow the coordinates.
Element x y z (fractional)
Rb 0.250 0.750 0.500  0.00
Rb 0.750 0.250 0.500  0.00
F 0.304 0.304 0.000  0.02
F 0.304 0.696 0.000  0.02
F 0.696 0.696 0.000  0.02
F 0.746 0.746 0.508  0.03
F 0.696 0.304 0.000  0.02
F 0.254 0.254 0.492  0.03
Te 0.000 0.000 0.000  0.46
Sc 0.500 0.500 0.000  0.00

Values from the calculation:
For the density of states at the Fermi level, the calculation gives 16.85 states/eV per cell. As for the total energy: -5.005 eV/atom.

# 2
A plane-wave DFT calculation with PBE was carried out for a geometry-optimized TbSm5Sn5 structure.

a = 6.280 Å, b = 8.502 Å, c = 7.438 Å
α = 102.80°, β = 90.00°, γ = 111.67°
Site moments in Bohr magnetons follow the coordinates.
Element x y z (fractional)
Sm 0.667 0.334 0.329  0.02
Sm 0.333 0.666 0.671  0.02
Sm 0.000 0.000 0.500  0.06
Sm 0.665 0.329 0.830  0.03
Sm 0.335 0.671 0.170  0.03
Tb 0.000 0.000 0.000  0.01
Sn 0.166 0.332 0.836  0.00
Sn 0.834 0.668 0.164  0.00
Sn 0.500 0.000 0.000  0.00
Sn 0.166 0.331 0.336  0.00
Sn 0.834 0.669 0.664  0.00

Values from the calculation:
For the formation energy, the calculation gives -0.4764 eV/atom. For the density of states at the Fermi level, the calculation gives 9.13 states/eV per cell.

# 3
A plane-wave DFT calculation with PBE was carried out for a geometry-optimized CaCuCBr structure.

a = 3.642 Å, b = 3.698 Å, c = 7.130 Å
α = 104.64°, β = 90.31°, γ = 89.99°
Element x y z (fractional)
Cu 0.207 0.463 0.015
Ca 0.704 0.832 0.747
Br 0.201 0.224 0.524
C 0.707 0.461 0.011

Values from the calculation:
The calculation puts the energy above the most stable polymorph in this dataset at 10 meV per atom. For the density of states at the Fermi level, the calculation gives 1.67 states/eV per cell.